# 1
Density functional theory data (GGA-PBE) for crystalline Ac2TbTh at its relaxed geometry.

* energy above the lowest structure with this stoichiometry: 0.1413 eV per atom
* energy of formation from the pure elements: 0.2612 eV/atom
* DOS(E_F): 2.84 states/eV per atom
* density: 9.2 g/cm³

The structure in POSCAR format:
```
Ac2TbTh
1.0
6.0002 0.0000 0.0000
3.0001 5.1963 0.0000
3.0001 1.7321 4.8991
Th Ac Tb
1 2 1
Cartesian
0.0000 0.0000 0.0000 Th
9.0003 5.1963 3.6744 Ac
3.0001 1.7321 1.2248 Ac
6.0002 3.4642 2.4496 Tb
```

# 2
Density functional theory data (GGA-PBE) for crystalline MgTlCd2Cu at its relaxed geometry.

* energy of formation from the pure elements: 0.1109 eV/atom
* DOS(E_F): 0.34 states/eV per atom
* density: 6.7 g/cm³

The structure in POSCAR format:
```
MgTlCd2Cu
1.0
5.0523 0.0000 0.0000
0.0000 5.0075 0.0000
0.0000 0.0000 5.0523
Cd Tl Mg Cu
2 1 1 1
Cartesian
0.0000 0.0000 2.5262 Cd
2.5262 0.0000 0.0000 Cd
2.5262 2.5037 2.5262 Tl
0.0000 2.5037 0.0000 Mg
0.0000 0.0000 0.0000 Cu
```

# 3
Density functional theory data (GGA-PBE) for crystalline PmCu2Se3 at its relaxed geometry.

* DOS(E_F): 0.68 states/eV per atom
* formation energy (no corrections): -0.723 eV/atom
* density: 6.0 g/cm³

The structure in POSCAR format:
```
PmCu2Se3
1.0
-0.1841 -0.9738 -4.2433
5.6746 -0.4270 -0.1482
-0.7690 -11.1168 2.5847
Se Pm Cu
6 2 4
Cartesian
2.5698 -3.9496 0.4476 Se
-0.8075 -10.1171 -1.7705 Se
2.3072 -7.7454 1.3302 Se
-0.4854 -6.0919 -1.0323 Se
2.7541 -0.6538 -1.9927 Se
-0.3011 -2.7962 -3.4726 Se
-0.0796 -0.4209 -1.8339 Pm
2.3483 -6.3249 -1.1912 Pm
-0.5208 -7.2796 1.0320 Cu
2.0205 -10.5829 -1.4723 Cu
2.5713 -2.6207 -3.3235 Cu
-0.3026 -4.1250 0.2985 Cu
```

| no. | uncorrected energy (eV/atom) |
| --- | --- |
| 1 | -4.81 |
| 2 | -1.87 |
| 3 | -4.62 |